1.
BaCu2Ni | GGA-PBEsol | relaxed

## Properties
Energy: -14.65 eV/cell
Space group: I-4m2, No. 119
Formation energy from the elements: 0.5818 eV/atom

a = 5.0788 Å, b = 5.0788 Å, c = 5.0788 Å
α = 131.53°, β = 131.53°, γ = 70.97°
With the nearest neighbours (Å) after each atom.
Element x y z (fractional)
Ba1 0.0000 0.0000 0.0000  4 Ni 2.94, 8 Cu 2.94-2.95
Cu1 0.5000 0.5000 0.0000  4 Ni 2.94, 4 Cu 2.94, 4 Ba 2.95
Cu2 0.7500 0.2500 0.5000  4 Cu 2.94, 4 Ba 2.94, 4 Ni 2.95
Ni1 0.2500 0.7500 0.5000  8 Cu 2.94-2.95, 4 Ba 2.94

2.
BaYCuNiO5 | GGA-PBEsol | relaxed

## Properties
ΔE_f (raw): -1.98 eV per atom
Energy: -63.56 eV/cell
Space group: P4mm, No. 99

a = 3.8230 Å, b = 3.8230 Å, c = 7.3706 Å
α = 90.00°, β = 90.00°, γ = 90.00°
With the nearest neighbours (Å) after each atom.
Element x y z (fractional)
Ba1 0.0000 0.0000 0.0000  12 O 2.70-2.99
Y1 0.0000 0.0000 0.4951  8 O 2.36-2.38
Cu1 0.5000 0.5000 0.2688  5 O 1.93-2.07
Ni1 0.5000 0.5000 0.7331  5 O 1.88-1.94
O1 0.0000 0.5000 0.3076  2 Cu 1.93
O2 0.0000 0.5000 0.6880  2 Ni 1.94
O3 0.5000 0.0000 0.3076  2 Cu 1.93
O4 0.5000 0.0000 0.6880  2 Ni 1.94
O5 0.5000 0.5000 0.9881  1 Ni 1.88, 1 Cu 2.07

3.
Ba8Cu8O19 | GGA-PBEsol | relaxed

## Properties
ΔE_f (raw): -1.56 eV per atom
Energy: -206.17 eV/cell
Space group: P1, No. 1

a = 5.6568 Å, b = 9.2040 Å, c = 9.7440 Å
α = 88.62°, β = 89.42°, γ = 89.94°
With the nearest neighbours (Å) after each atom.
Element x y z (fractional)
Ba1 0.0000 0.0000 0.0000  9 O 2.66-2.87
Ba2 0.0020 0.2404 0.3350  9 O 2.69-2.96
Ba3 0.0052 0.7360 0.3322  10 O 2.79-3.03
Ba4 0.4888 0.4891 0.1616  10 O 2.77-2.91
Ba5 0.5004 0.9857 0.4918  10 O 2.76-3.00
Ba6 0.5021 0.2392 0.8337  9 O 2.74-3.06
Ba7 0.5072 0.7398 0.8365  8 O 2.68-2.92
Ba8 0.9882 0.4707 0.6544  9 O 2.71-2.87
Cu1 0.4816 0.3459 0.4868  4 O 1.83-1.95
Cu2 0.4833 0.6202 0.4944  4 O 1.86-1.97
Cu3 0.4948 0.1286 0.1500  4 O 1.82-1.95
Cu4 0.4966 0.8525 0.1502  4 O 1.83-1.94
Cu5 0.9801 0.6261 0.9907  4 O 1.81-1.91
Cu6 0.9817 0.3554 0.9840  4 O 1.83-1.96
Cu7 0.9920 0.8362 0.6378  4 O 1.86-2.02
Cu8 0.9963 0.1132 0.6519  4 O 1.84-1.93
O1 0.9999 0.2145 0.8122  1 Cu 1.84
O2 0.0083 0.9951 0.4911  2 Cu 1.93-2.02
O3 0.1982 0.4984 0.9169  2 Cu 1.85-1.90
O4 0.2176 0.7294 0.0635  1 Cu 1.81
O5 0.2210 0.2588 0.0716  1 Cu 1.83
O6 0.2503 0.4858 0.4187  2 Cu 1.95-1.97
O7 0.2590 0.7236 0.6044  2 Cu 1.86-1.92
O8 0.2605 0.2313 0.5916  2 Cu 1.91-1.93
O9 0.2964 0.9870 0.2312  2 Cu 1.86-1.88
O10 0.5012 0.2219 0.3125  1 Cu 1.82
O11 0.5047 0.7519 0.3139  1 Cu 1.83
O12 0.5072 0.9931 0.9993  2 Cu 1.94-1.95
O13 0.7024 0.4858 0.4232  2 Cu 1.88-1.89
O14 0.7183 0.2450 0.5739  1 Cu 1.83
O15 0.7277 0.7144 0.5834  2 Cu 1.86-1.95
O16 0.7528 0.4983 0.9151  2 Cu 1.91-1.96
O17 0.7590 0.2437 0.0893  2 Cu 1.90-1.91
O18 0.7622 0.7425 0.0838  2 Cu 1.87-1.93
O19 0.8103 0.9642 0.7395  2 Cu 1.86-1.91

4.
BaCuO2 | GGA-PBEsol | relaxed

## Properties
ΔE_f (raw): -1.60 eV per atom
Energy: -23.36 eV/cell
Space group: P4/mmm, No. 123

a = 3.9486 Å, b = 3.9486 Å, c = 3.8220 Å
α = 90.00°, β = 90.00°, γ = 90.00°
With the nearest neighbours (Å) after each atom.
Element x y z (fractional)
Ba1 0.0000 0.0000 0.0000  8 O 2.75
Cu1 0.5000 0.5000 0.5000  4 O 1.97
O1 0.0000 0.5000 0.5000  2 Cu 1.97
O2 0.5000 0.0000 0.5000  2 Cu 1.97

5.
BaCu2O2 | GGA-PBEsol | relaxed

## Properties
ΔE_f (raw): -1.32 eV per atom
Energy: -55.80 eV/cell
Space group: I4_1/amd, No. 141

a = 6.4185 Å, b = 6.4185 Å, c = 6.4185 Å
α = 127.49°, β = 127.49°, γ = 77.44°
With the nearest neighbours (Å) after each atom.
Element x y z (fractional)
Ba1 0.3750 0.6250 0.7500  6 O 2.62-2.84
Ba2 0.6250 0.3750 0.2500  6 O 2.62-2.84
Cu1 0.0000 0.0000 0.0000  2 O 1.82
Cu2 0.0000 0.0000 0.5000  2 O 1.82
Cu3 0.0000 0.5000 0.0000  2 O 1.82
Cu4 0.5000 0.0000 0.5000  2 O 1.82
O1 0.1137 0.3637 0.7500  2 Cu 1.82
O2 0.3637 0.1137 0.2500  2 Cu 1.82
O3 0.6363 0.8863 0.7500  2 Cu 1.82
O4 0.8863 0.6363 0.2500  2 Cu 1.82

6.
BaCuO2 | GGA-PBEsol | relaxed

## Properties
ΔE_f (raw): -1.49 eV per atom
Energy: -22.94 eV/cell
Space group: R-3m, No. 166

a = 6.2776 Å, b = 6.2776 Å, c = 6.2776 Å
α = 38.54°, β = 38.54°, γ = 38.54°
With the nearest neighbours (Å) after each atom.
Element x y z (fractional)
Ba1 0.0000 0.0000 0.0000  6 O 2.67
Cu1 0.5000 0.5000 0.5000  2 O 1.72
O1 0.4010 0.4010 0.4010  1 Cu 1.72
O2 0.5990 0.5990 0.5990  1 Cu 1.72

7.
Ba2Cu3O6 | GGA-PBEsol | relaxed

## Properties
ΔE_f (raw): -1.35 eV per atom
Energy: -127.32 eV/cell
Space group: Fmmm, No. 69
Energy above the lowest structure with this stoichiometry: 56.6 meV per atom

a = 9.1331 Å, b = 8.3071 Å, c = 6.9184 Å
α = 73.08°, β = 60.48°, γ = 46.44°
With the nearest neighbours (Å) after each atom.
Element x y z (fractional)
Ba1 0.2313 0.7687 0.2313  10 O 2.78-3.00
Ba2 0.2500 0.2500 0.2500  8 O 2.72-2.77
Ba3 0.7500 0.7500 0.7500  8 O 2.72-2.77
Ba4 0.7687 0.2313 0.7687  10 O 2.78-3.00
Cu1 0.0060 0.6983 0.9940  4 O 1.86-1.87
Cu2 0.3017 0.9940 0.6983  4 O 1.86-1.87
Cu3 0.3126 0.6874 0.6874  4 O 1.85
Cu4 0.6874 0.3126 0.3126  4 O 1.85
Cu5 0.6983 0.0060 0.3017  4 O 1.86-1.87
Cu6 0.9940 0.3017 0.0060  4 O 1.86-1.87
O1 0.0667 0.2985 0.7015  2 Cu 1.87
O2 0.0823 0.7346 0.6900  2 Cu 1.85-1.86
O3 0.2654 0.9177 0.5069  2 Cu 1.85-1.86
O4 0.2985 0.0667 0.9333  2 Cu 1.87
O5 0.3100 0.5069 0.9177  2 Cu 1.85-1.86
O6 0.4931 0.6900 0.7346  2 Cu 1.85-1.86
O7 0.5069 0.3100 0.2654  2 Cu 1.85-1.86
O8 0.6900 0.4931 0.0823  2 Cu 1.85-1.86
O9 0.7015 0.9333 0.0667  2 Cu 1.87
O10 0.7346 0.0823 0.4931  2 Cu 1.85-1.86
O11 0.9177 0.2654 0.3100  2 Cu 1.85-1.86
O12 0.9333 0.7015 0.2985  2 Cu 1.87

8.
BaCuO2 | GGA-PBEsol | relaxed

## Properties
ΔE_f (raw): -1.65 eV per atom
Energy: -47.19 eV/cell
Space group: Cmcm, No. 63

a = 8.4524 Å, b = 8.4524 Å, c = 4.0094 Å
α = 90.00°, β = 90.00°, γ = 152.96°
With the nearest neighbours (Å) after each atom.
Element x y z (fractional)
Ba1 0.1638 0.8362 0.7500  7 O 2.64-2.82
Ba2 0.8362 0.1638 0.2500  7 O 2.64-2.82
Cu1 0.4382 0.5618 0.7500  4 O 1.86-2.01
Cu2 0.5618 0.4382 0.2500  4 O 1.86-2.01
O1 0.3242 0.6758 0.7500  1 Cu 1.87
O2 0.4484 0.5516 0.2500  3 Cu 1.86-2.01
O3 0.5516 0.4484 0.7500  3 Cu 1.86-2.01
O4 0.6758 0.3242 0.2500  1 Cu 1.87

9.
Ba2CuO4 | GGA-PBEsol | relaxed

## Properties
ΔE_f (raw): -1.74 eV per atom
Energy: -41.78 eV/cell
Space group: I4/mmm, No. 139

a = 7.0112 Å, b = 7.0112 Å, c = 7.0112 Å
α = 146.85°, β = 146.85°, γ = 47.59°
With the nearest neighbours (Å) after each atom.
Element x y z (fractional)
Ba1 0.1418 0.1418 0.0000  9 O 2.69-2.83
Ba2 0.8582 0.8582 0.0000  9 O 2.69-2.83
Cu1 0.5000 0.5000 0.0000  6 O 1.91-2.00
O1 0.0000 0.5000 0.5000  2 Cu 2.00
O2 0.3514 0.3514 0.0000  1 Cu 1.91
O3 0.5000 0.0000 0.5000  2 Cu 2.00
O4 0.6486 0.6486 0.0000  1 Cu 1.91

10.
Ba2Cu3O6 | GGA-PBEsol | relaxed

## Properties
ΔE_f (raw): -1.41 eV per atom
Energy: -257.14 eV/cell
Space group: P2/m, No. 10
Energy above the lowest structure with this stoichiometry: 0.0 meV per atom

a = 8.2007 Å, b = 7.3929 Å, c = 11.5817 Å
α = 90.00°, β = 103.13°, γ = 90.00°
With the nearest neighbours (Å) after each atom.
Element x y z (fractional)
Ba1 0.0166 0.0000 0.2514  4 O 2.64-2.66
Ba2 0.1490 0.5000 0.2518  6 O 2.64-2.94
Ba3 0.2909 0.5000 0.7504  8 O 2.65-2.88
Ba4 0.4545 0.0000 0.2492  8 O 2.64-2.88
Ba5 0.5455 0.0000 0.7508  8 O 2.64-2.88
Ba6 0.7091 0.5000 0.2496  8 O 2.65-2.88
Ba7 0.8510 0.5000 0.7482  6 O 2.64-2.94
Ba8 0.9834 0.0000 0.7486  4 O 2.64-2.66
Cu1 0.0000 0.2491 0.0000  4 O 1.86
Cu2 0.0000 0.7509 0.0000  4 O 1.86
Cu3 0.1661 0.2537 0.5011  4 O 1.84-1.86
Cu4 0.1661 0.7463 0.5011  4 O 1.84-1.86
Cu5 0.3319 0.2501 0.0000  4 O 1.84-1.86
Cu6 0.3319 0.7499 0.0000  4 O 1.84-1.86
Cu7 0.5000 0.2432 0.5000  4 O 1.84-1.87
Cu8 0.5000 0.7568 0.5000  4 O 1.84-1.87
Cu9 0.6681 0.2501 0.0000  4 O 1.84-1.86
Cu10 0.6681 0.7499 0.0000  4 O 1.84-1.86
Cu11 0.8339 0.2537 0.4989  4 O 1.84-1.86
Cu12 0.8339 0.7463 0.4989  4 O 1.84-1.86
O1 0.0346 0.2730 0.6121  2 Cu 1.86
O2 0.0346 0.7270 0.6121  2 Cu 1.86
O3 0.1301 0.2637 0.8879  2 Cu 1.86
O4 0.1301 0.7363 0.8879  2 Cu 1.86
O5 0.2021 0.2346 0.1121  2 Cu 1.86
O6 0.2021 0.7654 0.1121  2 Cu 1.86
O7 0.2957 0.2322 0.3889  2 Cu 1.86-1.87
O8 0.2957 0.7678 0.3889  2 Cu 1.86-1.87
O9 0.3684 0.2456 0.6098  2 Cu 1.84
O10 0.3684 0.7544 0.6098  2 Cu 1.84
O11 0.4651 0.2511 0.8913  2 Cu 1.84
O12 0.4651 0.7489 0.8913  2 Cu 1.84
O13 0.5349 0.2511 0.1087  2 Cu 1.84
O14 0.5349 0.7489 0.1087  2 Cu 1.84
O15 0.6316 0.2456 0.3902  2 Cu 1.84
O16 0.6316 0.7544 0.3902  2 Cu 1.84
O17 0.7043 0.2322 0.6111  2 Cu 1.86-1.87
O18 0.7043 0.7678 0.6111  2 Cu 1.86-1.87
O19 0.7979 0.2346 0.8879  2 Cu 1.86
O20 0.7979 0.7654 0.8879  2 Cu 1.86
O21 0.8699 0.2637 0.1121  2 Cu 1.86
O22 0.8699 0.7363 0.1121  2 Cu 1.86
O23 0.9654 0.2730 0.3879  2 Cu 1.86
O24 0.9654 0.7270 0.3879  2 Cu 1.86

11.
Ba2CuOsO6 | GGA-PBEsol | relaxed

## Properties
ΔE_f (raw): -1.73 eV per atom
Energy: -69.62 eV/cell
Space group: I4/m, No. 87

a = 5.7972 Å, b = 5.7972 Å, c = 5.7972 Å
α = 122.28°, β = 122.28°, γ = 86.09°
With the nearest neighbours (Å) after each atom.
Element x y z (fractional)
Ba1 0.2500 0.7500 0.5000  12 O 2.81-2.91
Ba2 0.7500 0.2500 0.5000  12 O 2.81-2.91
Cu1 0.0000 0.0000 0.0000  4 O 2.04
Os1 0.5000 0.5000 0.0000  6 O 1.92
O1 0.2545 0.2599 0.5144  1 Os 1.92, 1 Cu 2.04
O2 0.2599 0.7455 0.0054  1 Os 1.92, 1 Cu 2.04
O3 0.2734 0.2734 0.0000  1 Os 1.92
O4 0.7266 0.7266 0.0000  1 Os 1.92
O5 0.7401 0.2545 0.9946  1 Os 1.92, 1 Cu 2.04
O6 0.7455 0.7401 0.4856  1 Os 1.92, 1 Cu 2.04

12.
BaCuP2O7 | GGA-PBEsol | relaxed

## Properties
ΔE_f (raw): -2.21 eV per atom
Energy: -158.32 eV/cell
Space group: P-1, No. 2

a = 5.2108 Å, b = 7.4433 Å, c = 7.5718 Å
α = 103.15°, β = 91.81°, γ = 95.73°
With the nearest neighbours (Å) after each atom.
Element x y z (fractional)
Ba1 0.1886 0.2759 0.4268  9 O 2.68-2.99
Ba2 0.8114 0.7241 0.5732  9 O 2.68-2.99
Cu1 0.1781 0.1437 0.9018  4 O 1.94-1.99
Cu2 0.8219 0.8563 0.0982  4 O 1.94-1.99
P1 0.2880 0.6884 0.9010  4 O 1.50-1.62
P2 0.3137 0.7651 0.2834  4 O 1.52-1.62
P3 0.6863 0.2349 0.7166  4 O 1.52-1.62
P4 0.7120 0.3116 0.0990  4 O 1.50-1.62
O1 0.0888 0.8880 0.2969  1 P 1.55
O2 0.0939 0.8368 0.9184  1 P 1.56
O3 0.2091 0.5250 0.7463  1 P 1.50
O4 0.2740 0.6184 0.0889  2 P 1.62
O5 0.3038 0.6553 0.4294  1 P 1.52
O6 0.4228 0.1196 0.7105  1 P 1.54
O7 0.4327 0.2234 0.1039  1 P 1.54
O8 0.5673 0.7766 0.8961  1 P 1.54
O9 0.5772 0.8804 0.2895  1 P 1.54
O10 0.6962 0.3447 0.5706  1 P 1.52
O11 0.7260 0.3816 0.9111  2 P 1.62
O12 0.7909 0.4750 0.2537  1 P 1.50
O13 0.9061 0.1632 0.0816  1 P 1.56
O14 0.9112 0.1120 0.7031  1 P 1.55

13.
BaTiCu4P4O17 | GGA-PBEsol | relaxed

## Properties
ΔE_f (raw): -1.96 eV per atom
Energy: -386.46 eV/cell
Space group: P42_12, No. 90

a = 9.6002 Å, b = 9.6002 Å, c = 7.1190 Å
α = 90.00°, β = 90.00°, γ = 90.00°
With the nearest neighbours (Å) after each atom.
Element x y z (fractional)
Ba1 0.0000 0.0000 0.0000  8 O 2.73-2.86
Ba2 0.5000 0.5000 0.0000  8 O 2.73-2.86
Ti1 0.0000 0.5000 0.0187  1 O 1.71
Ti2 0.5000 0.0000 0.9813  1 O 1.71
Cu1 0.0119 0.2700 0.5995  4 O 1.91-1.94
Cu2 0.2300 0.5119 0.5995  4 O 1.91-1.94
Cu3 0.2700 0.0119 0.4005  4 O 1.91-1.94
Cu4 0.4881 0.7700 0.4005  4 O 1.91-1.94
Cu5 0.5119 0.2300 0.4005  4 O 1.91-1.94
Cu6 0.7300 0.9881 0.4005  4 O 1.91-1.94
Cu7 0.7700 0.4881 0.5995  4 O 1.91-1.94
Cu8 0.9881 0.7300 0.5995  4 O 1.91-1.94
P1 0.1930 0.7190 0.2610  4 O 1.54-1.58
P2 0.2190 0.3070 0.2610  4 O 1.54-1.58
P3 0.2810 0.8070 0.7390  4 O 1.54-1.58
P4 0.3070 0.2190 0.7390  4 O 1.54-1.58
P5 0.6930 0.7810 0.7390  4 O 1.54-1.58
P6 0.7190 0.1930 0.7390  4 O 1.54-1.58
P7 0.7810 0.6930 0.2610  4 O 1.54-1.58
P8 0.8070 0.2810 0.2610  4 O 1.54-1.58
O1 0.0000 0.5000 0.7784  1 Ti 1.71
O2 0.1111 0.6623 0.0919  1 P 1.54
O3 0.1234 0.8372 0.7329  1 P 1.54
O4 0.1359 0.6504 0.4470  1 P 1.58
O5 0.1504 0.3641 0.4470  1 P 1.58
O6 0.1517 0.1804 0.7553  1 P 1.54
O7 0.1623 0.3889 0.0919  1 P 1.54
O8 0.1628 0.8766 0.2671  1 P 1.54
O9 0.1804 0.1517 0.2447  1 P 1.54
O10 0.3196 0.6517 0.7553  1 P 1.54
O11 0.3372 0.3766 0.7329  1 P 1.54
O12 0.3377 0.8889 0.9081  1 P 1.54
O13 0.3483 0.6804 0.2447  1 P 1.54
O14 0.3496 0.8641 0.5530  1 P 1.58
O15 0.3641 0.1504 0.5530  1 P 1.58
O16 0.3766 0.3372 0.2671  1 P 1.54
O17 0.3889 0.1623 0.9081  1 P 1.54
O18 0.5000 0.0000 0.2216  1 Ti 1.71
O19 0.6111 0.8377 0.9081  1 P 1.54
O20 0.6234 0.6628 0.2671  1 P 1.54
O21 0.6359 0.8496 0.5530  1 P 1.58
O22 0.6504 0.1359 0.5530  1 P 1.58
O23 0.6517 0.3196 0.2447  1 P 1.54
O24 0.6623 0.1111 0.9081  1 P 1.54
O25 0.6628 0.6234 0.7329  1 P 1.54
O26 0.6804 0.3483 0.7553  1 P 1.54
O27 0.8196 0.8483 0.2447  1 P 1.54
O28 0.8372 0.1234 0.2671  1 P 1.54
O29 0.8377 0.6111 0.0919  1 P 1.54
O30 0.8483 0.8196 0.7553  1 P 1.54
O31 0.8496 0.6359 0.4470  1 P 1.58
O32 0.8641 0.3496 0.4470  1 P 1.58
O33 0.8766 0.1628 0.7329  1 P 1.54
O34 0.8889 0.3377 0.0919  1 P 1.54

14.
BaVCu4P4O17 | GGA-PBEsol | relaxed

## Properties
ΔE_f (raw): -1.90 eV per atom
Energy: -385.80 eV/cell
Space group: P42_12, No. 90

a = 9.6216 Å, b = 9.6216 Å, c = 7.1486 Å
α = 90.00°, β = 90.00°, γ = 90.00°
With the nearest neighbours (Å) after each atom.
Element x y z (fractional)
Ba1 0.0000 0.0000 0.0000  8 O 2.73-2.83
Ba2 0.5000 0.5000 0.0000  8 O 2.73-2.83
V1 0.0000 0.5000 0.0340  1 O 1.62
V2 0.5000 0.0000 0.9660  1 O 1.62
Cu1 0.0107 0.2640 0.5994  4 O 1.93-1.97
Cu2 0.2360 0.5107 0.5994  4 O 1.93-1.97
Cu3 0.2640 0.0107 0.4006  4 O 1.93-1.97
Cu4 0.4893 0.7640 0.4006  4 O 1.93-1.97
Cu5 0.5107 0.2360 0.4006  4 O 1.93-1.97
Cu6 0.7360 0.9893 0.4006  4 O 1.93-1.97
Cu7 0.7640 0.4893 0.5994  4 O 1.93-1.97
Cu8 0.9893 0.7360 0.5994  4 O 1.93-1.97
P1 0.1933 0.7153 0.2636  4 O 1.54-1.57
P2 0.2153 0.3067 0.2636  4 O 1.54-1.57
P3 0.2847 0.8067 0.7364  4 O 1.54-1.57
P4 0.3067 0.2153 0.7364  4 O 1.54-1.57
P5 0.6933 0.7847 0.7364  4 O 1.54-1.57
P6 0.7153 0.1933 0.7364  4 O 1.54-1.57
P7 0.7847 0.6933 0.2636  4 O 1.54-1.57
P8 0.8067 0.2847 0.2636  4 O 1.54-1.57
O1 0.0000 0.5000 0.8075  1 V 1.62
O2 0.1087 0.6547 0.0967  1 P 1.56
O3 0.1279 0.8376 0.7389  1 P 1.54
O4 0.1378 0.6499 0.4502  1 P 1.57
O5 0.1499 0.3622 0.4502  1 P 1.57
O6 0.1526 0.1766 0.7585  1 P 1.54
O7 0.1547 0.3913 0.0967  1 P 1.56
O8 0.1624 0.8721 0.2611  1 P 1.54
O9 0.1766 0.1526 0.2415  1 P 1.54
O10 0.3234 0.6526 0.7585  1 P 1.54
O11 0.3376 0.3721 0.7389  1 P 1.54
O12 0.3453 0.8913 0.9033  1 P 1.56
O13 0.3474 0.6766 0.2415  1 P 1.54
O14 0.3501 0.8622 0.5498  1 P 1.57
O15 0.3622 0.1499 0.5498  1 P 1.57
O16 0.3721 0.3376 0.2611  1 P 1.54
O17 0.3913 0.1547 0.9033  1 P 1.56
O18 0.5000 0.0000 0.1925  1 V 1.62
O19 0.6087 0.8453 0.9033  1 P 1.56
O20 0.6279 0.6624 0.2611  1 P 1.54
O21 0.6378 0.8501 0.5498  1 P 1.57
O22 0.6499 0.1378 0.5498  1 P 1.57
O23 0.6526 0.3234 0.2415  1 P 1.54
O24 0.6547 0.1087 0.9033  1 P 1.56
O25 0.6624 0.6279 0.7389  1 P 1.54
O26 0.6766 0.3474 0.7585  1 P 1.54
O27 0.8234 0.8474 0.2415  1 P 1.54
O28 0.8376 0.1279 0.2611  1 P 1.54
O29 0.8453 0.6087 0.0967  1 P 1.56
O30 0.8474 0.8234 0.7585  1 P 1.54
O31 0.8501 0.6378 0.4502  1 P 1.57
O32 0.8622 0.3501 0.4502  1 P 1.57
O33 0.8721 0.1624 0.7389  1 P 1.54
O34 0.8913 0.3453 0.0967  1 P 1.56

no.,calculated density (g/cm3)
1,7.46
2,6.60
3,6.26
4,6.49
5,6.10
6,4.48
7,5.65
8,5.94
9,6.50
10,5.45
11,7.81
12,4.38
13,4.23
14,4.21